(1)
Ba2ScTc | PBE | optimized geometry

* ΔE_f: 0.9490 eV per atom
* symmetry: Fm-3m
* E above lowest polymorph: 603 meV per atom
* VASP energy: -16.75 eV for the cell shown
* calculated density: 5.9 g/cm3

Cell lengths 5.5014, 5.5014, 5.5014 Å; angles 60.00, 60.00, 60.00 degrees
With the nearest neighbours (Å) after each atom.
Positions (direct):
Tc: 0.5000 0.5000 0.5000  8 Ba 3.37
Ba: 0.7500 0.7500 0.7500  4 Sc 3.37, 4 Tc 3.37
Sc: 0.0000 0.0000 0.0000  8 Ba 3.37
Ba: 0.2500 0.2500 0.2500  4 Sc 3.37, 4 Tc 3.37



(2)
NiWS3 | PBE | optimized geometry

* symmetry: Pm-3m
* E above lowest polymorph: 0 meV per atom
* VASP energy: -28.37 eV for the cell shown
* calculated density: 5.6 g/cm3

Cell lengths 4.6543, 4.6543, 4.6543 Å; angles 90.00, 90.00, 90.00 degrees
With the nearest neighbours (Å) after each atom.
Positions (direct):
S: 0.0000 0.0000 0.5000  2 W 2.33
Ni: 0.5000 0.5000 0.5000  12 S 3.29
W: 0.0000 0.0000 0.0000  6 S 2.33
S: 0.5000 0.0000 0.0000  2 W 2.33
S: 0.0000 0.5000 0.0000  2 W 2.33



(3)
PrPuBiSb | PBE | optimized geometry

* symmetry: R3m
* E above lowest polymorph: 0 meV per atom
* VASP energy: -30.16 eV for the cell shown
* calculated density: 9.0 g/cm3

Cell lengths 4.5421, 4.5421, 7.8579 Å; angles 73.20, 73.20, 60.00 degrees
With the nearest neighbours (Å) after each atom.
Positions (direct):
Bi: 0.9408 0.9408 0.1777  3 Pu 3.20, 3 Pr 3.28
Pu: 0.1918 0.1918 0.4246  3 Sb 3.14, 3 Bi 3.20
Pr: 0.6964 0.6964 0.9108  3 Sb 3.22, 3 Bi 3.28
Sb: 0.4475 0.4475 0.6576  3 Pu 3.14, 3 Pr 3.22



(4)
LiMgTa | PBE | optimized geometry

* ΔE_f: 0.3388 eV per atom
* symmetry: Pm
* E above lowest polymorph: 258 meV per atom
* VASP energy: -28.69 eV for the cell shown
* calculated density: 6.2 g/cm3

Cell lengths 5.3257, 2.9563, 7.3269 Å; angles 89.96, 98.13, 90.02 degrees
With the nearest neighbours (Å) after each atom.
Positions (direct):
Li: 0.2367 0.8850 0.3277  3 Mg 2.81-2.93, 4 Li 2.83-2.96, 4 Ta 3.02-3.10
Mg: 0.2587 0.3851 0.6558  2 Li 2.81, 4 Mg 2.96-3.12, 4 Ta 3.03-3.06
Mg: 0.5120 0.8862 0.0086  5 Li 2.93-3.09, 4 Mg 2.96-3.12, 3 Ta 2.99-3.08
Li: 0.0061 0.3852 0.0203  4 Li 2.83-2.96, 5 Mg 3.01-3.16, 3 Ta 3.07-3.09
Ta: 0.7351 0.3850 0.3633  4 Ta 2.67-2.96
Ta: 0.7640 0.8846 0.6687  4 Ta 2.67-2.96



(5)
PmMgTlSn | PBE | optimized geometry

* ΔE_f: -0.2803 eV per atom
* symmetry: F-43m
* E above lowest polymorph: 155 meV per atom
* VASP energy: -13.84 eV for the cell shown
* calculated density: 7.6 g/cm3

Cell lengths 5.3396, 5.3396, 5.3396 Å; angles 60.00, 60.00, 60.00 degrees
With the nearest neighbours (Å) after each atom.
Positions (direct):
Mg: 0.5000 0.5000 0.5000  4 Sn 3.27, 4 Tl 3.27
Sn: 0.7500 0.7500 0.7500  4 Pm 3.27, 4 Mg 3.27
Tl: 0.2500 0.2500 0.2500  4 Mg 3.27, 4 Pm 3.27
Pm: 0.0000 0.0000 0.0000  4 Tl 3.27, 4 Sn 3.27



(6)
Rb2SrCl2 | PBE | optimized geometry

* symmetry: P4/mbm
* E above lowest polymorph: 0 meV per atom
* VASP energy: -27.88 eV for the cell shown
* calculated density: 2.3 g/cm3

Cell lengths 8.5537, 8.5537, 6.4132 Å; angles 90.00, 90.00, 90.00 degrees
With the nearest neighbours (Å) after each atom.
Positions (direct):
Rb: 0.6776 0.8224 0.5000  2 Cl 3.37
Rb: 0.1776 0.6776 0.5000  2 Cl 3.37
Cl: 0.2380 0.2620 0.0000  2 Sr 3.03, 2 Rb 3.37
Rb: 0.3224 0.1776 0.5000  2 Cl 3.37
Sr: 0.5000 0.5000 0.0000  4 Cl 3.03
Cl: 0.7620 0.7380 0.0000  2 Sr 3.03, 2 Rb 3.37
Sr: 0.0000 0.0000 0.0000  4 Cl 3.03
Cl: 0.7380 0.2380 0.0000  2 Sr 3.03, 2 Rb 3.37
Cl: 0.2620 0.7620 0.0000  2 Sr 3.03, 2 Rb 3.37
Rb: 0.8224 0.3224 0.5000  2 Cl 3.37



> Which of these has the highest VASP energy?

PmMgTlSn



> Which of these has the lowest calculated density?

Rb2SrCl2



> The highest VASP energy belongs to which entry?

PmMgTlSn